No. 1
Sc2CdSnH: relaxed, PBE-GGA.

Unit cell a=4.4496 b=4.4496 c=4.5101 alpha=90.00 beta=90.00 gamma=90.00
With the nearest neighbours (Å) after each atom.
Space group P4/mmm (No. 123)
Symmetry-distinct sites (fractional):
Sc (0.0000, 0.5000, 0.0000)  2 H 2.22
Cd (0.0000, 0.0000, 0.5000)  2 H 2.26
Sn (0.5000, 0.5000, 0.5000)  4 Cd 3.15, 8 Sc 3.17
H (0.0000, 0.0000, 0.0000)  4 Sc 2.22, 2 Cd 2.26

- Electronic total energy: -4.56 eV/atom
- M_tot: 1.3 μB per cell

No. 2
LiSmTm: relaxed, PBE-GGA.

Unit cell a=6.0855 b=3.5106 c=16.2679 alpha=90.00 beta=90.18 gamma=90.00
With the nearest neighbours (Å) after each atom.
Space group C2/m (No. 12)
Symmetry-distinct sites (fractional):
Li (0.1668, 0.0000, 0.0688)  3 Li 3.02, 3 Tm 3.32-3.33
Sm (0.1659, 0.0000, 0.4059)  3 Tm 3.49-3.50, 9 Sm 3.51-3.67
Tm (0.0014, 0.5000, 0.7691)  3 Li 3.32-3.33, 3 Sm 3.49-3.50, 6 Tm 3.51

- Formation enthalpy at 0 K: 0.0824 eV/atom
- M_tot: 0.0 μB per cell